Below is GdPa2Tc after structural relaxation, with properties calculated at the PBE level.

Values from the calculation:
DOS at the Fermi energy	9.707	states/eV per cell
polymorph energy (0 for the lowest one)	0.0000	eV/atom
SG	P4/mmm (123)

a = 3.3394 Å, b = 3.3394 Å, c = 8.7223 Å
α = 90.00°, β = 90.00°, γ = 90.00°
Last column: nearest neighbours and their distance in Å.
Positions (direct):
Gd 0.0000 0.0000 0.0000  4 Gd 3.34, 8 Pa 3.51
Pa 0.5000 0.5000 0.2976  4 Tc 2.95
Pa 0.5000 0.5000 0.7024  4 Tc 2.95
Tc 0.0000 0.0000 0.5000  8 Pa 2.95


Below is Dy5Ho5Tl after structural relaxation, with properties calculated at the PBE level.

Values from the calculation:
DOS at the Fermi energy	19.961	states/eV per cell
SG	P-6m2 (187)

a = 6.0724 Å, b = 6.0724 Å, c = 11.1920 Å
α = 90.00°, β = 90.00°, γ = 120.00°
Last column: nearest neighbours and their distance in Å.
Positions (direct):
Dy 0.0000 0.0000 0.0000  2 Ho 2.99
Dy 0.3333 0.6667 0.2936  1 Tl 3.29, 3 Ho 3.52
Dy 0.3333 0.6667 0.7064  1 Tl 3.29, 3 Ho 3.52
Dy 0.6667 0.3333 0.1880  6 Ho 3.62-3.90, 3 Dy 3.70
Dy 0.6667 0.3333 0.8120  6 Ho 3.62-3.90, 3 Dy 3.70
Ho 0.0000 0.0000 0.2674  1 Dy 2.99, 3 Ho 3.15
Ho 0.0000 0.0000 0.7326  1 Dy 2.99, 3 Ho 3.15
Ho 0.3383 0.1691 0.5000  6 Ho 2.99-3.15
Ho 0.8309 0.1691 0.5000  6 Ho 2.99-3.15
Ho 0.8309 0.6617 0.5000  6 Ho 2.99-3.15
Tl 0.3333 0.6667 0.0000  5 Dy 3.29-3.51


Below is Cr2PtW after structural relaxation, with properties calculated at the PBE level.

Values from the calculation:
DOS at the Fermi energy	4.661	states/eV per cell
polymorph energy (0 for the lowest one)	0.1280	eV/atom
SG	Pmmm (47)

a = 2.6458 Å, b = 3.7900 Å, c = 5.5656 Å
α = 90.00°, β = 90.00°, γ = 90.00°
Last column: nearest neighbours and their distance in Å.
Positions (direct):
Cr 0.0000 0.0000 0.2428  4 Cr 2.65-2.86, 4 Pt 2.68, 4 W 2.72
Cr 0.0000 0.0000 0.7572  4 Cr 2.65-2.86, 4 Pt 2.68, 4 W 2.72
Pt 0.5000 0.5000 0.0000  2 Pt 2.65, 8 Cr 2.68, 2 W 2.78
W 0.5000 0.5000 0.5000  2 W 2.65, 8 Cr 2.72, 2 Pt 2.78


no.,calculated density (kg/m3),ΔE_f (eV per atom)
1,12246,0.064
2,8556,0.325
3,14368,0.120